# 1
# MgMnTc2Mo

Crystalline MgMnTc2Mo at its relaxed geometry (PBE, the Alexandria database).

a = 4.4634 Å, b = 4.4634 Å, c = 4.4659 Å
α = 90.00°, β = 90.00°, γ = 90.00°
Positions (direct):
Mg (0.0000, 0.0000, 0.0000)
Mn (0.5000, 0.5000, 0.5000)
Tc (0.0000, 0.5000, 0.5000)
Tc (0.5000, 0.0000, 0.5000)
Mo (0.5000, 0.5000, 0.0000)

Computed properties:
calculated density	6.93	g cm⁻³
space-group type	P4/mmm
spin magnetization	0.3	μB per formula unit
D(E_F)	1.1399	states/eV per atom
calculated formation energy	4.91	eV per formula unit

---

# 2
# BiWAu2N

Crystalline BiWAu2N at its relaxed geometry (PBE, the Alexandria database).

a = 4.3207 Å, b = 4.3207 Å, c = 4.9565 Å
α = 90.00°, β = 90.00°, γ = 90.00°
Positions (direct):
Bi (0.0000, 0.0000, 0.0000)
W (0.5000, 0.5000, 0.0000)
Au (0.0000, 0.5000, 0.5000)
Au (0.5000, 0.0000, 0.5000)
N (0.0000, 0.0000, 0.5000)

Computed properties:
calculated density	14.37	g cm⁻³
E_form (uncorrected)	1.37	eV per atom
space-group type	P4/mmm
spin magnetization	2.0	μB per formula unit
D(E_F)	0.7002	states/eV per atom

---

# 3
# LiHoMgTc

Crystalline LiHoMgTc at its relaxed geometry (PBE, the Alexandria database).

a = 4.7664 Å, b = 4.7664 Å, c = 4.7664 Å
α = 60.00°, β = 60.00°, γ = 60.00°
Positions (direct):
Li (0.0000, 0.0000, 0.0000)
Ho (0.2500, 0.2500, 0.2500)
Mg (0.7500, 0.7500, 0.7500)
Tc (0.5000, 0.5000, 0.5000)

Computed properties:
calculated density	6.38	g cm⁻³
space-group type	F-43m
spin magnetization	0.0	μB per formula unit
D(E_F)	1.1606	states/eV per atom
calculated formation energy	0.71	eV per formula unit

---

# 4
# La6SbTe3P2

Crystalline La6SbTe3P2 at its relaxed geometry (PBE, the Alexandria database).

a = 10.0979 Å, b = 10.0979 Å, c = 9.0772 Å
α = 104.27°, β = 104.27°, γ = 25.41°
Positions (direct):
La (0.0125, 0.0125, 0.2537)
La (0.3247, 0.3247, 0.4345)
La (0.3313, 0.3313, 0.8880)
La (0.6687, 0.6687, 0.1120)
La (0.6753, 0.6753, 0.5655)
La (0.9875, 0.9875, 0.7463)
Sb (0.5000, 0.5000, 0.0000)
Te (0.1624, 0.1624, 0.8328)
Te (0.5000, 0.5000, 0.5000)
Te (0.8376, 0.8376, 0.1672)
P (0.1687, 0.1687, 0.3359)
P (0.8313, 0.8313, 0.6641)

Computed properties:
calculated density	6.05	g cm⁻³
E_form (uncorrected)	-1.59	eV per atom
space-group type	C2/m
spin magnetization	0.0	μB per formula unit
D(E_F)	0.4414	states/eV per atom

---

# 5
# GeRh2F

Crystalline GeRh2F at its relaxed geometry (PBE, the Alexandria database).

a = 4.2060 Å, b = 4.2060 Å, c = 4.2060 Å
α = 60.00°, β = 60.00°, γ = 60.00°
Positions (direct):
Ge (0.0000, 0.0000, 0.0000)
Rh (0.2500, 0.2500, 0.2500)
Rh (0.7500, 0.7500, 0.7500)
F (0.5000, 0.5000, 0.5000)

Computed properties:
energy above the lowest structure with this stoichiometry	0.0	meV/atom
calculated density	9.39	g cm⁻³
E_form (uncorrected)	-0.45	eV per atom
space-group type	Fm-3m
spin magnetization	0.0	μB per formula unit
D(E_F)	0.6749	states/eV per atom

---

# 6
# AgOs2O

Crystalline AgOs2O at its relaxed geometry (PBE, the Alexandria database).

a = 7.6348 Å, b = 7.6348 Å, c = 7.6348 Å
α = 146.42°, β = 146.42°, γ = 48.23°
Positions (direct):
Ag (0.0000, 0.0000, 0.0000)
Ag (0.7500, 0.2500, 0.5000)
Os (0.2658, 0.6250, 0.1408)
Os (0.3750, 0.5158, 0.6408)
Os (0.4842, 0.1250, 0.8592)
Os (0.8750, 0.7342, 0.3592)
O (0.2500, 0.7500, 0.5000)
O (0.5000, 0.5000, 0.0000)

Computed properties:
calculated density	12.35	g cm⁻³
E_form (uncorrected)	0.98	eV per atom
space-group type	I-42d
spin magnetization	0.0	μB per formula unit
D(E_F)	0.9789	states/eV per atom